No. 1
A geometry-optimized RePtCl2 structure. Source: the Alexandria database, functional GGA-PBEsol.

a = 2.775 Å, b = 4.227 Å, c = 5.297 Å
α = 90.00°, β = 90.00°, γ = 90.00°
Fractional coordinates of all 4 atoms:
Re 0.000 0.000 0.000
Pt 0.500 0.000 0.500
Cl 0.000 0.500 0.500
Cl 0.500 0.500 0.000

formation energy without anion corrections = 0.809 eV per atom
E above lowest polymorph = 0 meV per atom
DOS at the Fermi energy = 1.0487 states/eV/atom
calculated total energy = -21.08 eV per cell



No. 2
A geometry-optimized Al2O3 structure. Source: the Alexandria database, functional GGA-PBEsol.

a = 5.140 Å, b = 5.140 Å, c = 5.140 Å
α = 55.34°, β = 55.34°, γ = 55.34°
Fractional coordinates of all 10 atoms:
Al 0.148 0.148 0.148
Al 0.352 0.352 0.352
Al 0.648 0.648 0.648
Al 0.852 0.852 0.852
O 0.056 0.750 0.444
O 0.250 0.556 0.944
O 0.444 0.056 0.750
O 0.556 0.944 0.250
O 0.750 0.444 0.056
O 0.944 0.250 0.556

formation energy without anion corrections = -3.080 eV per atom
DOS at the Fermi energy = 0.0000 states/eV/atom
calculated total energy = -78.66 eV per cell



No. 3
A geometry-optimized RbHgO2F structure. Source: the Alexandria database, functional GGA-PBEsol.

a = 4.329 Å, b = 4.329 Å, c = 4.837 Å
α = 90.00°, β = 90.00°, γ = 90.00°
Fractional coordinates of all 5 atoms:
Rb 0.000 0.000 0.000
Hg 0.500 0.500 0.500
O 0.000 0.500 0.000
O 0.500 0.000 0.000
F 0.000 0.000 0.500

formation energy without anion corrections = 0.398 eV per atom
DOS at the Fermi energy = 0.4978 states/eV/atom
calculated total energy = -12.03 eV per cell



No. 4
A geometry-optimized InIrW2 structure. Source: the Alexandria database, functional GGA-PBEsol.

a = 2.845 Å, b = 2.845 Å, c = 28.003 Å
α = 90.00°, β = 90.00°, γ = 120.00°
Fractional coordinates of all 12 atoms:
In 0.000 0.000 0.000
In 0.333 0.667 0.667
In 0.667 0.333 0.333
Ir 0.000 0.000 0.752
Ir 0.333 0.667 0.419
Ir 0.667 0.333 0.085
W 0.000 0.000 0.245
W 0.000 0.000 0.493
W 0.333 0.667 0.160
W 0.333 0.667 0.912
W 0.667 0.333 0.578
W 0.667 0.333 0.827

formation energy from the elements = 0.288 eV per atom
DOS at the Fermi energy = 0.9663 states/eV/atom
calculated total energy = -117.81 eV per cell



No. 5
A geometry-optimized Rb3PdF structure. Source: the Alexandria database, functional GGA-PBEsol.

a = 5.370 Å, b = 5.370 Å, c = 5.370 Å
α = 90.00°, β = 90.00°, γ = 90.00°
Fractional coordinates of all 5 atoms:
Rb 0.000 0.000 0.500
Rb 0.000 0.500 0.000
Rb 0.500 0.000 0.000
Pd 0.500 0.500 0.500
F 0.000 0.000 0.000

formation energy without anion corrections = -0.928 eV per atom
calculated total energy = -15.60 eV per cell



No. 6
A geometry-optimized MnFePtI2 structure. Source: the Alexandria database, functional GGA-PBEsol.

a = 5.002 Å, b = 5.002 Å, c = 4.470 Å
α = 90.00°, β = 90.00°, γ = 90.00°
Fractional coordinates of all 5 atoms:
Mn 0.000 0.000 0.000
Fe 0.000 0.000 0.500
Pt 0.500 0.500 0.500
I 0.000 0.500 0.000
I 0.500 0.000 0.000

formation energy without anion corrections = 1.267 eV per atom
DOS at the Fermi energy = 1.1526 states/eV/atom
calculated total energy = -22.89 eV per cell



No. 7
A geometry-optimized CaMg3 structure. Source: the Alexandria database, functional GGA-PBEsol.

a = 3.344 Å, b = 5.063 Å, c = 6.399 Å
α = 90.00°, β = 103.06°, γ = 90.00°
Fractional coordinates of all 4 atoms:
Ca 0.000 0.000 0.000
Mg 0.323 0.500 0.730
Mg 0.500 0.000 0.500
Mg 0.677 0.500 0.270

formation energy from the elements = -0.007 eV per atom
DOS at the Fermi energy = 0.6595 states/eV/atom
calculated total energy = -7.31 eV per cell



No. 8
A geometry-optimized GdBO3 structure. Source: the Alexandria database, functional GGA-PBEsol.

a = 8.624 Å, b = 3.908 Å, c = 3.908 Å
α = 113.18°, β = 90.00°, γ = 90.00°
Fractional coordinates of all 10 atoms:
Gd 0.000 0.000 0.000
Gd 0.500 0.000 0.000
B 0.250 0.706 0.433
B 0.750 0.433 0.706
O 0.105 0.607 0.267
O 0.250 0.939 0.803
O 0.395 0.607 0.267
O 0.605 0.267 0.607
O 0.750 0.803 0.939
O 0.895 0.267 0.607

formation energy without anion corrections = -3.025 eV per atom
DOS at the Fermi energy = 0.0000 states/eV/atom
calculated total energy = -104.67 eV per cell



No. 9
A geometry-optimized ZnRhBr2 structure. Source: the Alexandria database, functional GGA-PBEsol.

a = 3.359 Å, b = 3.359 Å, c = 7.096 Å
α = 90.00°, β = 90.00°, γ = 90.00°
Fractional coordinates of all 4 atoms:
Zn 0.000 0.000 0.000
Rh 0.500 0.500 0.860
Br 0.000 0.000 0.622
Br 0.500 0.500 0.213

formation energy without anion corrections = -0.006 eV per atom
E above lowest polymorph = 117 meV per atom
DOS at the Fermi energy = 1.0393 states/eV/atom
calculated total energy = -13.48 eV per cell



No. 10
A geometry-optimized InAg2 structure. Source: the Alexandria database, functional GGA-PBEsol.

a = 4.650 Å, b = 4.650 Å, c = 3.050 Å
α = 90.00°, β = 90.00°, γ = 90.00°
Fractional coordinates of all 3 atoms:
In 0.000 0.000 0.000
Ag 0.000 0.500 0.500
Ag 0.500 0.000 0.500

formation energy from the elements = 0.191 eV per atom
DOS at the Fermi energy = 0.2401 states/eV/atom
calculated total energy = -9.03 eV per cell



No. 11
A geometry-optimized CaLuHg2 structure. Source: the Alexandria database, functional GGA-PBEsol.

a = 7.264 Å, b = 7.264 Å, c = 7.264 Å
α = 90.00°, β = 90.00°, γ = 90.00°
Fractional coordinates of all 16 atoms:
Ca 0.000 0.000 0.000
Ca 0.000 0.500 0.500
Ca 0.500 0.000 0.500
Ca 0.500 0.500 0.000
Lu 0.000 0.000 0.500
Lu 0.000 0.500 0.000
Lu 0.500 0.000 0.000
Lu 0.500 0.500 0.500
Hg 0.250 0.250 0.250
Hg 0.250 0.250 0.750
Hg 0.250 0.750 0.250
Hg 0.250 0.750 0.750
Hg 0.750 0.250 0.250
Hg 0.750 0.250 0.750
Hg 0.750 0.750 0.250
Hg 0.750 0.750 0.750

formation energy from the elements = -0.587 eV per atom
DOS at the Fermi energy = 0.6060 states/eV/atom
calculated total energy = -41.95 eV per cell



No. 12
A geometry-optimized LiAlAg2 structure. Source: the Alexandria database, functional GGA-PBEsol.

a = 9.498 Å, b = 3.006 Å, c = 4.528 Å
α = 90.00°, β = 107.38°, γ = 90.00°
Fractional coordinates of all 8 atoms:
Li 0.000 0.000 0.000
Li 0.500 0.500 0.000
Al 0.257 0.500 0.333
Al 0.757 0.000 0.333
Ag 0.253 0.000 0.832
Ag 0.498 0.000 0.493
Ag 0.753 0.500 0.832
Ag 0.998 0.500 0.493

formation energy from the elements = -0.211 eV per atom
DOS at the Fermi energy = 0.2710 states/eV/atom
calculated total energy = -27.05 eV per cell